Model a:
Be2CoW | Alexandria | PBE-GGA | relaxed; crystal system = cubic
1.0
3.956 0.000 0.000
1.978 3.426 0.000
1.978 1.142 3.230
Be W Co
2 1 1
direct
0.250 0.250 0.250 Be
0.000 0.000 0.000 Be
0.750 0.750 0.750 W
0.500 0.500 0.500 Co

Model b:
Be2CoW | Alexandria | PBE-GGA | relaxed; crystal system = tetragonal
1.0
-2.045 3.508 -1.247
-2.243 1.403 3.323
4.104 -1.053 -0.307
W Co Be
1 1 2
direct
0.750 0.250 0.500 W
0.500 0.500 0.000 Co
0.250 0.750 0.500 Be
0.000 0.000 0.000 Be

Model c:
Be2CoW | Alexandria | PBE-GGA | relaxed; crystal system = tetragonal
1.0
-5.292 -2.780 -1.045
0.034 -2.191 5.658
-3.813 -0.520 3.075
W Be Co
2 4 2
direct
0.000 0.000 0.000 W
0.750 0.250 0.500 W
0.375 0.407 0.750 Be
0.157 0.625 0.250 Be
0.593 0.125 0.250 Be
0.875 0.843 0.750 Be
0.500 0.500 0.000 Co
0.250 0.750 0.500 Co

Each structure's energy above the most stable one, in meV per atom: model a 32; model b 0; model c 323.

Model a:
Be2CoW | Alexandria | PBE-GGA | relaxed; crystal system = monoclinic
1.0
-1.114 2.377 0.603
-2.441 -1.126 -0.070
-2.023 -2.357 5.558
Be Co W
2 1 1
direct
0.000 0.949 0.051 Be
0.000 0.551 0.449 Be
0.500 0.250 0.250 Co
0.500 0.750 0.750 W

Model b:
Be2CoW | Alexandria | PBE-GGA | relaxed; crystal system = monoclinic
1.0
-0.047 4.585 -0.632
-2.586 3.839 0.044
0.246 2.168 3.315
Co Be W
1 2 1
direct
0.519 0.519 0.481 Co
0.260 0.260 0.240 Be
0.977 0.977 0.024 Be
0.745 0.745 0.755 W

Each structure's energy above the most stable one, in meV per atom: model a 0; model b 156.

Model a:
Be2CoW | Alexandria | PBE-GGA | relaxed; crystal system = trigonal
1.0
7.702 -0.007 -0.004
7.246 2.609 -0.004
7.246 1.261 2.284
Be Co W
2 1 1
direct
0.991 0.991 0.991 Be
0.509 0.509 0.509 Be
0.250 0.250 0.250 Co
0.750 0.750 0.750 W

Model b:
Be2CoW | Alexandria | PBE-GGA | relaxed; crystal system = orthorhombic
1.0
-1.102 1.941 2.738
1.126 -1.753 1.696
4.378 1.456 0.730
W Be Co
1 2 1
direct
0.500 0.795 0.785 W
0.000 0.180 0.014 Be
0.500 0.059 0.258 Be
0.000 0.466 0.442 Co

Model c:
Be2CoW | Alexandria | PBE-GGA | relaxed; crystal system = tetragonal
1.0
3.542 0.000 0.000
0.000 3.543 0.000
0.000 0.000 3.483
Be Co W
2 1 1
direct
0.500 0.500 0.000 Be
0.000 0.000 0.000 Be
0.500 0.000 0.500 Co
0.000 0.500 0.500 W

Model d:
Be2CoW | Alexandria | PBE-GGA | relaxed; crystal system = cubic
1.0
0.711 -2.550 2.878
-2.735 -0.710 2.703
-1.844 -3.448 0.058
Co Be W
1 2 1
direct
0.000 0.000 0.000 Co
0.750 0.750 0.750 Be
0.250 0.250 0.250 Be
0.500 0.500 0.500 W

Each structure's energy above the most stable one, in meV per atom: model a 294; model b 0; model c 80; model d 167.

Model a:
BeCoW3 | Alexandria | PBE-GGA | relaxed; crystal system = cubic
1.0
4.429 0.000 0.000
0.000 4.429 0.000
0.000 0.000 4.429
W Co Be
3 1 1
direct
0.000 0.000 0.500 W
0.000 0.500 0.000 W
0.500 0.000 0.000 W
0.000 0.000 0.000 Co
0.500 0.500 0.500 Be

Model b:
BeCoW3 | Alexandria | PBE-GGA | relaxed; crystal system = cubic
1.0
4.168 0.000 0.000
0.000 4.168 0.000
0.000 0.000 4.168
W Co Be
3 1 1
direct
0.000 0.500 0.000 W
0.500 0.000 0.000 W
0.000 0.000 0.500 W
0.500 0.500 0.500 Co
0.000 0.000 0.000 Be

Each structure's energy above the most stable one, in meV per atom: model a 663; model b 0.